# CoRuIO2

A relaxed structure of CoRuIO2 (PBE+U, Alexandria).

Values from the calculation:
Total magnetic moment in μB per cell: 2.04
Space group: P4/mmm, No. 123
Total DFT energy (no corrections) in eV per atom: -5.35
Crystal system: tetragonal

Lattice parameters (Å, degrees): 3.7490 3.7490 7.6560 90.00 90.00 90.00
Fractional positions:
1 Co 0.0000 0.0000 0.0000
2 Ru 0.5000 0.5000 0.5000
3 I 0.5000 0.5000 0.0000
4 O 0.0000 0.5000 0.5000
5 O 0.5000 0.0000 0.5000